1.
This record from Alexandria describes a relaxed structure of K3HgO. The functional is PBE-GGA.

- volume (A^3/atom) = 33.49
- electronic total energy (eV for the cell shown) = -47.5

a b c (Å): 10.574 16.193 3.912
angles (deg): 90.00 90.00 90.00
Space group Cmmm (No. 65)
Symmetry-distinct sites (fractional):
K 0.000 0.211 0.000
K 0.221 0.357 0.500
Hg 0.000 0.000 0.500
Hg 0.000 0.500 0.000
O 0.250 0.250 0.000

2.
This record from Alexandria describes a relaxed structure of K4Hg2O. The functional is PBE-GGA.

- volume (A^3/atom) = 36.00
- electronic total energy (eV for the cell shown) = -27.6

a b c (Å): 16.951 4.144 7.175
angles (deg): 90.00 90.09 90.00
Space group C2/m (No. 12)
Symmetry-distinct sites (fractional):
K 0.041 0.000 0.278
K 0.144 0.500 0.629
Hg 0.211 0.500 0.125
O 0.000 0.500 0.500

3.
This record from Alexandria describes a relaxed structure of K5Hg2O. The functional is PBE-GGA.

- volume (A^3/atom) = 39.62
- electronic total energy (eV for the cell shown) = -29.5

a b c (Å): 6.850 13.595 7.598
angles (deg): 90.00 116.39 90.00
Space group Cm (No. 8)
Symmetry-distinct sites (fractional):
K 0.000 0.000 0.000
K 0.126 0.500 0.363
K 0.262 0.000 0.635
K 0.445 0.182 0.999
Hg 0.446 0.250 0.499
O 0.366 0.000 0.000

4.
This record from Alexandria describes a relaxed structure of K5Hg4O. The functional is PBE-GGA.

- volume (A^3/atom) = 33.67
- electronic total energy (eV for the cell shown) = -32.3

a b c (Å): 11.212 11.212 5.357
angles (deg): 90.00 90.00 90.00
Space group I4/mmm (No. 139)
Symmetry-distinct sites (fractional):
K 0.000 0.000 0.000
K 0.162 0.162 0.500
Hg 0.000 0.356 0.000
O 0.000 0.000 0.500

5.
This record from Alexandria describes a relaxed structure of K5Hg5O. The functional is PBE-GGA.

- volume (A^3/atom) = 34.80
- electronic total energy (eV for the cell shown) = -34.0

a b c (Å): 17.804 5.238 9.841
angles (deg): 90.00 123.45 90.00
Space group C2/m (No. 12)
Symmetry-distinct sites (fractional):
K 0.000 0.000 0.000
K 0.128 0.500 0.315
K 0.128 0.500 0.942
Hg 0.000 0.500 0.500
Hg 0.124 0.000 0.625
Hg 0.249 0.500 0.749
O 0.000 0.500 0.000

6.
This record from Alexandria describes a relaxed structure of K7Hg4O. The functional is PBE-GGA.

- volume (A^3/atom) = 41.23
- electronic total energy (eV for the cell shown) = -37.1

a b c (Å): 22.555 5.514 8.138
angles (deg): 90.00 102.14 90.00
Space group C2/m (No. 12)
Symmetry-distinct sites (fractional):
K 0.000 0.000 0.000
K 0.066 0.500 0.307
K 0.101 0.500 0.891
K 0.222 0.000 0.692
Hg 0.062 0.000 0.607
Hg 0.173 0.000 0.166
O 0.000 0.500 0.000

7.
This record from Alexandria describes a relaxed structure of K2Hg2O3. The functional is PBE-GGA.

- volume (A^3/atom) = 20.54
- electronic total energy (eV for the cell shown) = -45.5

a b c (Å): 12.666 3.811 6.306
angles (deg): 90.00 109.11 90.00
Space group C2/m (No. 12)
Symmetry-distinct sites (fractional):
K 0.123 0.000 0.293
Hg 0.137 0.500 0.850
O 0.000 0.500 0.000
O 0.201 0.000 0.750

8.
This record from Alexandria describes a relaxed structure of K3HgO. The functional is PBE-GGA.

- volume (A^3/atom) = 32.25
- electronic total energy (eV for the cell shown) = -11.8

a b c (Å): 5.443 5.443 5.443
angles (deg): 90.00 90.00 90.00
Space group Pm-3m (No. 221)
Symmetry-distinct sites (fractional):
K 0.000 0.000 0.500
Hg 0.500 0.500 0.500
O 0.000 0.000 0.000

9.
This record from Alexandria describes a relaxed structure of KHgO2. The functional is PBE-GGA.

- volume (A^3/atom) = 21.01
- electronic total energy (eV for the cell shown) = -40.2

a b c (Å): 3.7062 3.7062 21.1903
angles (deg): 90.00 90.00 120.00
Space group R-3m (No. 166, hexagonal axes)
Symmetry-distinct sites (fractional):
K 0.0000 0.0000 0.0000
Hg 0.0000 0.0000 0.5000
O 0.0000 0.0000 0.4082

10.
This record from Alexandria describes a relaxed structure of KHgO3. The functional is PBE-GGA.

- volume (A^3/atom) = 15.18
- electronic total energy (eV for the cell shown) = -16.6

a b c (Å): 4.234 4.234 4.234
angles (deg): 90.00 90.00 90.00
Space group Pm-3m (No. 221)
Symmetry-distinct sites (fractional):
K 0.000 0.000 0.000
Hg 0.500 0.500 0.500
O 0.000 0.500 0.500

11.
This record from Alexandria describes a relaxed structure of KHg3O. The functional is PBE-GGA.

- volume (A^3/atom) = 29.80
- electronic total energy (eV for the cell shown) = -6.9

a b c (Å): 5.302 5.302 5.302
angles (deg): 90.00 90.00 90.00
Space group Pm-3m (No. 221)
Symmetry-distinct sites (fractional):
K 0.000 0.000 0.000
Hg 0.000 0.500 0.500
O 0.500 0.500 0.500

12.
This record from Alexandria describes a relaxed structure of K6HgO. The functional is PBE-GGA.

- volume (A^3/atom) = 46.65
- electronic total energy (eV for the cell shown) = -30.8

a b c (Å): 8.822 11.941 7.312
angles (deg): 90.00 104.28 90.00
Space group C2/m (No. 12)
Symmetry-distinct sites (fractional):
K 0.120 0.156 0.254
K 0.238 0.500 0.114
Hg 0.000 0.500 0.500
O 0.000 0.000 0.000